[1]
# Li6Mg12Ag | Alexandria via LeMat-Bulk | GGA-PBE | optimized geometry
# **VASP energy**: -1.81 eV per atom
data_Li6Mg12Ag
_cell_length_a 10.4116
_cell_length_b 10.4116
_cell_length_c 12.8758
_cell_angle_alpha 90.00
_cell_angle_beta 90.00
_cell_angle_gamma 120.00
_space_group_name_H-M_alt 'R -3'
_space_group_IT_number 148
_space_group_name_Hall '-R 3'
loop_
_atom_site_label
_atom_site_type_symbol
_atom_site_fract_x
_atom_site_fract_y
_atom_site_fract_z
Li1 Li 0.0326 0.4378 0.2027
Mg1 Mg 0.0280 0.1842 0.3185
Mg2 Mg 0.0618 0.8482 0.9111
Ag1 Ag 0.0000 0.0000 0.5000


[2]
# HfZrBe | Alexandria via LeMat-Bulk | GGA-PBE | optimized geometry
# **VASP energy**: -7.17 eV per atom
data_HfZrBe
_cell_length_a 4.4539
_cell_length_b 4.4539
_cell_length_c 3.2790
_cell_angle_alpha 90.00
_cell_angle_beta 90.00
_cell_angle_gamma 120.00
_space_group_name_H-M_alt 'P 3 m 1'
_space_group_IT_number 156
loop_
_space_group_symop_operation_xyz
'x,y,z'
'-y,x-y,z'
'-x+y,-x,z'
'-y,-x,z'
'-x+y,y,z'
'x,x-y,z'
loop_
_atom_site_label
_atom_site_type_symbol
_atom_site_fract_x
_atom_site_fract_y
_atom_site_fract_z
Hf1 Hf 0.0000 0.0000 0.0000
Zr1 Zr 0.6667 0.3333 0.5268
Be1 Be 0.3333 0.6667 0.2478


[3]
# AcEr5Mg6 | Alexandria via LeMat-Bulk | GGA-PBE | optimized geometry
# **VASP energy**: -3.09 eV per atom
data_AcEr5Mg6
_cell_length_a 5.396
_cell_length_b 16.215
_cell_length_c 7.657
_cell_angle_alpha 90.00
_cell_angle_beta 90.00
_cell_angle_gamma 90.00
_space_group_name_H-M_alt 'C m m m'
_space_group_IT_number 65
_space_group_name_Hall '-C 2 2'
loop_
_atom_site_label
_atom_site_type_symbol
_atom_site_fract_x
_atom_site_fract_y
_atom_site_fract_z
Ac1 Ac 0.000 0.000 0.000
Er1 Er 0.000 0.000 0.500
Er2 Er 0.000 0.331 0.000
Er3 Er 0.000 0.336 0.500
Mg1 Mg 0.000 0.172 0.259
Mg2 Mg 0.000 0.500 0.262


[4]
# PmSmDyGa | Alexandria via LeMat-Bulk | GGA-PBE | optimized geometry
# **VASP energy**: -4.32 eV per atom
data_PmSmDyGa
_cell_length_a 7.626
_cell_length_b 7.626
_cell_length_c 7.626
_cell_angle_alpha 90.00
_cell_angle_beta 90.00
_cell_angle_gamma 90.00
_space_group_name_H-M_alt 'F -4 3 m'
_space_group_IT_number 216
_space_group_name_Hall 'F -4 2 3'
loop_
_atom_site_label
_atom_site_type_symbol
_atom_site_fract_x
_atom_site_fract_y
_atom_site_fract_z
Pm1 Pm 0.000 0.000 0.000
Sm1 Sm 0.250 0.250 0.750
Dy1 Dy 0.250 0.250 0.250
Ga1 Ga 0.000 0.000 0.500


[5]
# NiAsPd3 | Alexandria via LeMat-Bulk | GGA-PBE | optimized geometry
# **VASP energy**: -4.42 eV per atom
data_NiAsPd3
_cell_length_a 4.557
_cell_length_b 4.557
_cell_length_c 4.557
_cell_angle_alpha 90.00
_cell_angle_beta 90.00
_cell_angle_gamma 90.00
_space_group_name_H-M_alt 'P m -3 m'
_space_group_IT_number 221
_space_group_name_Hall '-P 4 2 3'
loop_
_atom_site_label
_atom_site_type_symbol
_atom_site_fract_x
_atom_site_fract_y
_atom_site_fract_z
Ni1 Ni 0.000 0.000 0.000
As1 As 0.500 0.500 0.500
Pd1 Pd 0.000 0.000 0.500


[6]
# Ca2BiRhPb | Alexandria via LeMat-Bulk | GGA-PBE | optimized geometry
# **VASP energy**: -4.25 eV per atom
data_Ca2BiRhPb
_cell_length_a 5.412
_cell_length_b 5.412
_cell_length_c 5.175
_cell_angle_alpha 90.00
_cell_angle_beta 90.00
_cell_angle_gamma 90.00
_space_group_name_H-M_alt 'P 4/m m m'
_space_group_IT_number 123
_space_group_name_Hall '-P 4 2'
loop_
_atom_site_label
_atom_site_type_symbol
_atom_site_fract_x
_atom_site_fract_y
_atom_site_fract_z
Ca1 Ca 0.000 0.500 0.000
Bi1 Bi 0.000 0.000 0.500
Rh1 Rh 0.500 0.500 0.000
Pb1 Pb 0.500 0.500 0.500


[7]
# Li2CaBe | Alexandria via LeMat-Bulk | GGA-PBE | optimized geometry
# **VASP energy**: -2.12 eV per atom
data_Li2CaBe
_cell_length_a 7.768
_cell_length_b 4.464
_cell_length_c 5.618
_cell_angle_alpha 90.00
_cell_angle_beta 117.37
_cell_angle_gamma 90.00
_space_group_name_H-M_alt 'C 1 m 1'
_space_group_IT_number 8
loop_
_space_group_symop_operation_xyz
'x,y,z'
'x,-y,z'
'x+1/2,y+1/2,z'
'x+1/2,-y+1/2,z'
loop_
_atom_site_label
_atom_site_type_symbol
_atom_site_fract_x
_atom_site_fract_y
_atom_site_fract_z
Li1 Li 0.000 0.000 0.000
Li2 Li 0.219 0.500 0.157
Ca1 Ca 0.200 0.000 0.601
Be1 Be 0.406 0.000 0.219


[8]
# Al2CrTe6Au | Alexandria via LeMat-Bulk | GGA-PBE | optimized geometry
# **ΔE_f (raw)**: -0.168 eV per atom
data_Al2CrTe6Au
_cell_length_a 13.284
_cell_length_b 12.548
_cell_length_c 7.246
_cell_angle_alpha 90.00
_cell_angle_beta 104.08
_cell_angle_gamma 90.00
_space_group_name_H-M_alt 'C 1 2/c 1'
_space_group_IT_number 15
loop_
_space_group_symop_operation_xyz
'x,y,z'
'-x,-y,-z'
'-x,y,-z+1/2'
'x,-y,z+1/2'
'x+1/2,y+1/2,z'
'-x+1/2,-y+1/2,-z'
'-x+1/2,y+1/2,-z+1/2'
'x+1/2,-y+1/2,z+1/2'
loop_
_atom_site_label
_atom_site_type_symbol
_atom_site_fract_x
_atom_site_fract_y
_atom_site_fract_z
Al1 Al 0.182 0.094 0.290
Cr1 Cr 0.000 0.415 0.250
Te1 Te 0.109 0.421 0.622
Te2 Te 0.124 0.087 0.612
Te3 Te 0.133 0.279 0.117
Au1 Au 0.000 0.243 0.750


[9]
# YHo4Th4 | Alexandria via LeMat-Bulk | GGA-PBE | optimized geometry
# **VASP energy**: -6.00 eV per atom
data_YHo4Th4
_cell_length_a 10.653
_cell_length_b 10.653
_cell_length_c 5.047
_cell_angle_alpha 90.00
_cell_angle_beta 90.00
_cell_angle_gamma 90.00
_space_group_name_H-M_alt 'I 4/m m m'
_space_group_IT_number 139
_space_group_name_Hall '-I 4 2'
loop_
_atom_site_label
_atom_site_type_symbol
_atom_site_fract_x
_atom_site_fract_y
_atom_site_fract_z
Y1 Y 0.000 0.000 0.000
Ho1 Ho 0.000 0.330 0.000
Th1 Th 0.167 0.167 0.500


[10]
# Y2CrRh2 | Alexandria via LeMat-Bulk | GGA-PBE | optimized geometry
# **VASP energy**: -7.26 eV per atom
data_Y2CrRh2
_cell_length_a 7.915
_cell_length_b 7.915
_cell_length_c 3.180
_cell_angle_alpha 90.00
_cell_angle_beta 90.00
_cell_angle_gamma 90.00
_space_group_name_H-M_alt 'P 4/m b m'
_space_group_IT_number 127
_space_group_name_Hall '-P 4 2ab'
loop_
_atom_site_label
_atom_site_type_symbol
_atom_site_fract_x
_atom_site_fract_y
_atom_site_fract_z
Y1 Y 0.151 0.349 0.000
Cr1 Cr 0.000 0.000 0.000
Rh1 Rh 0.152 0.652 0.500


[11]
# Hf2ZrVCr | Alexandria via LeMat-Bulk | GGA-PBE | optimized geometry
# **VASP energy**: -7.84 eV per atom
data_Hf2ZrVCr
_cell_length_a 5.109
_cell_length_b 5.109
_cell_length_c 4.627
_cell_angle_alpha 90.00
_cell_angle_beta 90.00
_cell_angle_gamma 90.00
_space_group_name_H-M_alt 'P 4/m m m'
_space_group_IT_number 123
_space_group_name_Hall '-P 4 2'
loop_
_atom_site_label
_atom_site_type_symbol
_atom_site_fract_x
_atom_site_fract_y
_atom_site_fract_z
Hf1 Hf 0.000 0.500 0.000
Zr1 Zr 0.000 0.000 0.000
V1 V 0.500 0.500 0.500
Cr1 Cr 0.000 0.000 0.500


[12]
# TlSbHI2 | Alexandria via LeMat-Bulk | GGA-PBE | optimized geometry
# **VASP energy**: -2.53 eV per atom
data_TlSbHI2
_cell_length_a 5.978
_cell_length_b 5.978
_cell_length_c 4.002
_cell_angle_alpha 90.00
_cell_angle_beta 90.00
_cell_angle_gamma 90.00
_space_group_name_H-M_alt 'P 4/m m m'
_space_group_IT_number 123
_space_group_name_Hall '-P 4 2'
loop_
_atom_site_label
_atom_site_type_symbol
_atom_site_fract_x
_atom_site_fract_y
_atom_site_fract_z
Tl1 Tl 0.000 0.000 0.000
Sb1 Sb 0.500 0.500 0.000
H1 H 0.500 0.500 0.500
I1 I 0.000 0.500 0.500


> What is the formula in the fourth record?

PmSmDyGa